(1)
The following is a PBE-GGA calculation of a relaxed AcSmMgCd crystal, from Alexandria.

Summary:
M_tot, μB per cell: 0.0
SG: F-43m
Offset from the most stable computed form, meV per atom: 22

a = 5.609 Å, b = 5.609 Å, c = 5.609 Å
α = 60.00°, β = 60.00°, γ = 60.00°
Fractional positions:
Ac 0.000 0.000 0.000
Sm 0.500 0.500 0.500
Mg 0.750 0.750 0.750
Cd 0.250 0.250 0.250



(2)
The following is a PBE-GGA calculation of a relaxed Ac2MgCd3Sn4 crystal, from Alexandria.

Summary:
M_tot, μB per cell: 0.0
SG: P-4m2

a = 4.879 Å, b = 4.879 Å, c = 12.046 Å
α = 90.00°, β = 90.00°, γ = 90.00°
Fractional positions:
Ac 0.000 0.500 0.241
Ac 0.500 0.000 0.759
Mg 0.000 0.000 0.500
Cd 0.000 0.500 0.866
Cd 0.500 0.000 0.134
Cd 0.500 0.500 0.500
Sn 0.000 0.000 0.000
Sn 0.000 0.500 0.637
Sn 0.500 0.000 0.363
Sn 0.500 0.500 0.000



(3)
The following is a PBE-GGA calculation of a relaxed AcMgCdSn2 crystal, from Alexandria.

Summary:
M_tot, μB per cell: 0.0
SG: I-4m2

a = 7.417 Å, b = 7.417 Å, c = 7.417 Å
α = 143.75°, β = 143.75°, γ = 52.20°
Fractional positions:
Ac 0.000 0.000 0.000
Mg 0.750 0.250 0.500
Cd 0.250 0.750 0.500
Sn 0.389 0.389 0.000
Sn 0.611 0.611 0.000



Energy for every record listed, in sequence, given in eV/cell: -12.01, -32.01, -16.72.